Entry 1:
This record from the Alexandria database describes a relaxed structure of Ba2PdPbF. The functional is GGA-PBEsol.

a b c (Å): 5.420 5.420 4.828
angles (deg): 90.00 90.00 90.00
Fractional coordinates of all 5 atoms:
Ba 0.000 0.500 0.000
Ba 0.500 0.000 0.000
Pd 0.000 0.000 0.500
Pb 0.500 0.500 0.500
F 0.500 0.500 0.000

* calculated total energy: -0.155 Ha/atom
* calculated volume: 142 Å³/cell
* density of states at the Fermi level: 2.33 states/eV/f.u.
* symmetry: P4/mmm (123)

Entry 2:
This record from the Alexandria database describes a relaxed structure of BeZnSe2. The functional is GGA-PBEsol.

a b c (Å): 3.380 3.435 7.584
angles (deg): 90.00 90.00 90.00
Fractional coordinates of all 4 atoms:
Be 0.000 0.000 0.000
Zn 0.000 0.500 0.500
Se 0.500 0.000 0.500
Se 0.500 0.500 0.000

* calculated total energy: -0.121 Ha/atom
* calculated volume: 88 Å³/cell
* density of states at the Fermi level: 0.87 states/eV/f.u.
* symmetry: Pmmm (47)
* relative energy among the computed polymorphs: 0.740 eV/atom